1.
First-principles (meta-GGA SCAN) data for CrNi2Os at its PBEsol-relaxed geometry, as listed in Alexandria.

energy relative to the lowest polymorph listed for this composition = 1.80 kcal/mol of atoms
calculated total energy = -30.55 eV per atom
spin magnetization = 0.00 μB/f.u.
volume = 46.3 Å³ per cell
ΔH_f (0 K) = 105 meV/atom
symmetry = Cm

Structure (POSCAR):
```
CrNi2Os
1.0
-0.230 -1.848 -1.698
3.154 2.658 -1.450
2.482 -2.653 2.551
Os Ni Cr
1 2 1
Direct
0.504 0.008 0.499
0.001 0.002 0.995
0.250 0.501 0.761
0.745 0.490 0.245
```

---

2.
First-principles (meta-GGA SCAN) data for Zr5Zn4 at its PBEsol-relaxed geometry, as listed in Alexandria.

calculated total energy = -23.34 eV per atom
spin magnetization = 0.00 μB/f.u.
volume = 331.2 Å³ per cell
ΔH_f (0 K) = -283 meV/atom
symmetry = P6_3/mcm

Structure (POSCAR):
```
Zr5Zn4
1.0
-4.528 3.066 1.409
-4.907 -5.752 -3.250
2.168 -0.441 7.927
Zn Zr
8 10
Direct
0.750 0.000 0.362
0.750 0.362 0.000
0.500 0.000 0.000
0.250 0.638 0.000
0.000 0.000 0.000
0.250 0.362 0.362
0.250 0.000 0.638
0.750 0.638 0.638
0.250 0.000 0.299
0.250 0.701 0.701
0.500 0.667 0.333
0.750 0.701 0.000
0.500 0.333 0.667
0.000 0.667 0.333
0.750 0.299 0.299
0.000 0.333 0.667
0.750 0.000 0.701
0.250 0.299 0.000
```

---

3.
First-principles (meta-GGA SCAN) data for CoRe3Tc at its PBEsol-relaxed geometry, as listed in Alexandria.

calculated total energy = -51.39 eV per atom
spin magnetization = 1.90 μB/f.u.
volume = 79.5 Å³ per cell
ΔH_f (0 K) = 1746 meV/atom
symmetry = Pm-3m

Structure (POSCAR):
```
CoRe3Tc
1.0
4.300 0.000 0.000
0.000 4.300 0.000
0.000 0.000 4.300
Tc Re Co
1 3 1
Direct
0.500 0.500 0.500
0.500 0.000 0.000
0.000 0.500 0.000
0.000 0.000 0.500
0.000 0.000 0.000
```

---

4.
First-principles (meta-GGA SCAN) data for FeWAu2 at its PBEsol-relaxed geometry, as listed in Alexandria.

energy relative to the lowest polymorph listed for this composition = 0.00 kcal/mol of atoms
calculated total energy = -56.33 eV per atom
spin magnetization = 2.61 μB/f.u.
volume = 60.1 Å³ per cell
ΔH_f (0 K) = 205 meV/atom
symmetry = P4mm

Structure (POSCAR):
```
FeWAu2
1.0
-2.686 -0.563 -0.224
0.247 -1.949 1.929
-1.592 5.359 5.618
Au Fe W
2 1 1
Direct
0.500 0.500 0.273
0.000 0.000 0.991
0.000 0.000 0.509
0.500 0.500 0.727
```

---

5.
First-principles (meta-GGA SCAN) data for CoMoOs2 at its PBEsol-relaxed geometry, as listed in Alexandria.

energy relative to the lowest polymorph listed for this composition = 0.00 kcal/mol of atoms
calculated total energy = -48.92 eV per atom
spin magnetization = 0.36 μB/f.u.
volume = 53.2 Å³ per cell
ΔH_f (0 K) = 71 meV/atom
symmetry = P4/mmm

Structure (POSCAR):
```
CoMoOs2
1.0
3.741 0.000 0.000
0.000 3.769 0.000
0.000 0.000 3.769
Os Co Mo
2 1 1
Direct
0.000 0.500 0.000
0.000 0.000 0.500
0.500 0.500 0.500
0.500 0.000 0.000
```

---

6.
First-principles (meta-GGA SCAN) data for Gd at its PBEsol-relaxed geometry, as listed in Alexandria.

energy relative to the lowest polymorph listed for this composition = 2.48 kcal/mol of atoms
calculated total energy = -58.71 eV per atom
spin magnetization = 8.05 μB/f.u.
volume = 30.5 Å³ per cell
ΔH_f (0 K) = 108 meV/atom
symmetry = Im-3m

Structure (POSCAR):
```
Gd
1.0
3.408 0.000 0.000
-1.136 3.213 0.000
-1.136 -1.607 2.783
Gd
1
Direct
0.000 0.000 0.000
```

---

7.
First-principles (meta-GGA SCAN) data for LiErGe at its PBEsol-relaxed geometry, as listed in Alexandria.

calculated total energy = -24.70 eV per atom
spin magnetization = 0.00 μB/f.u.
volume = 172.2 Å³ per cell
ΔH_f (0 K) = -758 meV/atom
symmetry = P-62m

Structure (POSCAR):
```
LiErGe
1.0
4.191 0.000 0.000
0.000 6.888 0.000
0.000 -3.444 5.965
Ge Li Er
3 3 3
Direct
0.500 0.667 0.333
0.000 0.000 0.000
0.500 0.333 0.667
0.500 0.000 0.233
0.500 0.233 0.000
0.500 0.767 0.767
0.000 0.572 0.000
0.000 0.428 0.428
0.000 0.000 0.572
```

---

8.
First-principles (meta-GGA SCAN) data for ZrCrAuI2 at its PBEsol-relaxed geometry, as listed in Alexandria.

calculated total energy = -37.55 eV per atom
spin magnetization = 2.66 μB/f.u.
volume = 146.5 Å³ per cell
symmetry = P4/mmm
raw formation energy = 796 meV per atom

Structure (POSCAR):
```
ZrCrAuI2
1.0
-0.474 4.668 1.564
-4.739 0.404 -2.645
-2.624 -1.752 4.434
I Cr Au Zr
2 1 1 1
Direct
0.000 0.500 0.000
0.000 0.000 0.500
0.500 0.000 0.000
0.000 0.000 0.000
0.500 0.500 0.500
```

---

Question: What is the formula in the second record?
Answer: Zr5Zn4